Record 1
Computed, not measured: Tm5Ni2Se2 after structural relaxation at the PBE level of DFT.

The structure in extended XYZ format:
```
18
Lattice="-6.7418 -1.8396 2.2435 1.9843 -7.0711 0.1649 -1.2415 -0.1584 8.1453" Properties=species:S:1:pos:R:3 pbc="T T T"
Tm 0.0000 0.0000 0.0000
Tm -2.3788 -4.4554 1.2042
Tm -3.7500 -2.0948 7.1588
Tm -4.5656 -7.5172 7.9939
Tm -1.5579 -5.3030 6.8420
Tm -6.7576 -4.3091 8.3108
Tm -2.2490 -6.9744 3.3948
Tm -1.4334 -1.5519 2.5597
Tm -4.4410 -3.7662 3.7117
Tm 0.7587 -4.7601 2.2429
Ni -0.1687 -2.8576 0.3609
Ni -4.5888 -6.0531 2.0474
Ni -0.7442 -6.8209 0.9651
Ni -4.0133 -2.0898 1.4433
Se -2.1200 -0.4726 5.2477
Se -4.4987 -4.9279 6.4519
Se -5.8633 -1.5255 5.1411
Se -1.5002 -4.1413 4.1018
```

Summary:
For the total DFT energy (no corrections), the calculation gives -0.2019 hartree per atom.

Record 2
Computed, not measured: Tm2NiSe after structural relaxation at the PBE level of DFT.

The structure in extended XYZ format:
```
4
Lattice="-1.9757 -2.7478 -0.6265 2.8012 -1.8303 -0.8062 0.6266 -1.9631 6.6337" Properties=species:S:1:pos:R:3 pbc="T T T"
Ni 0.4127 -2.2890 -0.7164
Tm 0.4824 -1.5112 5.1066
Tm 0.1442 -0.4519 1.5271
Se 0.7260 -3.2706 2.6005
```

Summary:
For the energy above the most stable polymorph in this dataset, the calculation gives 0.224 eV/atom.

Record 3
Computed, not measured: Tm2NiSe after structural relaxation at the PBE level of DFT.

The structure in extended XYZ format:
```
4
Lattice="-0.8014 1.2473 -3.2764 1.6449 -1.3608 -2.8940 -6.0323 -6.0700 -2.8089" Properties=species:S:1:pos:R:3 pbc="T T T"
Ni 0.0000 0.0000 0.0000
Tm -4.2343 -4.3521 -2.5947
Tm -0.9545 -1.8314 -6.3846
Se -2.5944 -3.0918 -4.4897
```

Summary:
For the energy above the most stable polymorph in this dataset, the calculation gives 0.838 eV/atom.

Record 4
Computed, not measured: Tm3NiSe2 after structural relaxation at the PBE level of DFT.

The structure in extended XYZ format:
```
6
Lattice="3.6892 0.0000 -1.0452 -0.6001 5.2927 -2.1180 0.0187 -0.2610 7.0995" Properties=species:S:1:pos:R:3 pbc="T T T"
Tm 1.1079 1.6905 3.9105
Tm 0.0000 0.0000 0.0000
Tm 2.0000 3.3412 0.0258
Ni -0.3000 2.6464 -1.0590
Se 2.3921 0.8353 1.4096
Se 0.7159 4.1964 2.5267
```

Summary:
For the total DFT energy (no corrections), the calculation gives -0.2053 hartree per atom.

Record 5
Computed, not measured: Tm2NiSe after structural relaxation at the PBE level of DFT.

The structure in extended XYZ format:
```
4
Lattice="3.8906 0.0000 0.0000 1.9453 3.3693 0.0000 1.9453 1.1231 6.8713" Properties=species:S:1:pos:R:3 pbc="T T T"
Tm 1.9453 1.1231 5.3777
Tm 1.9453 1.1231 1.4814
Ni 3.8906 2.2462 0.0100
Se 3.8906 2.2462 3.4378
```

Summary:
For the energy above the most stable polymorph in this dataset, the calculation gives 0.082 eV/atom.

Record 6
Computed, not measured: Tm4NiSe3 after structural relaxation at the PBE level of DFT.

The structure in extended XYZ format:
```
8
Lattice="3.8894 0.0000 0.0000 0.0000 6.6933 -2.2255 0.0000 -0.0017 7.0536" Properties=species:S:1:pos:R:3 pbc="T T T"
Ni 1.9447 0.0000 0.0000
Tm 0.0000 1.4820 1.0693
Tm 1.9447 5.0967 -0.0126
Tm 0.0000 5.2096 3.7588
Tm 1.9447 1.5949 4.8407
Se 0.0000 -0.0009 3.5268
Se 1.9447 3.3458 2.4141
Se 0.0000 3.3467 -1.1127
```

Summary:
For the total DFT energy (no corrections), the calculation gives -0.2072 hartree per atom.

Record 7
Computed, not measured: U2NiSe6 after structural relaxation at the PBE level of DFT.

The structure in extended XYZ format:
```
18
Lattice="-1.6785 -5.5853 -2.7752 2.2294 -3.2214 5.1349 -10.3956 0.6720 4.9350" Properties=species:S:1:pos:R:3 pbc="T T T"
U -3.0904 -4.1858 2.7777
U -6.7542 -3.9489 4.5170
U -1.8319 0.1184 0.8696
U -8.5637 0.5536 4.0654
Ni 0.2755 -4.4034 1.1798
Ni -5.1978 0.3360 2.4675
Se -1.1477 -6.0368 2.3711
Se -8.4802 -5.5628 5.8520
Se -4.8135 -5.8064 4.1133
Se -0.9068 -5.1185 -1.2132
Se -4.5760 -4.8833 0.5213
Se -7.6391 -4.6853 1.9754
Se -2.2056 -3.4494 5.3193
Se -5.2686 -3.2514 6.7734
Se 1.4577 -3.6882 3.5729
Se -5.0311 -2.3283 3.1814
Se -1.3645 -2.5719 1.4427
Se -8.6969 -2.0979 4.9236
```

Summary:
For the total DFT energy (no corrections), the calculation gives -0.2266 hartree per atom.

Record 8
Computed, not measured: UNi2Se6 after structural relaxation at the PBE level of DFT.

The structure in extended XYZ format:
```
9
Lattice="4.6658 0.0000 0.0000 2.3329 6.2965 -0.3273 2.3329 2.1447 6.8463" Properties=species:S:1:pos:R:3 pbc="T T T"
U 2.3329 4.2206 3.2595
Ni 4.6658 6.6322 6.0349
Ni 4.6658 1.8090 0.4841
Se 6.9986 5.8601 5.8585
Se 2.3329 2.5811 0.6605
Se 6.9986 5.9029 1.1212
Se 4.6658 5.8058 3.7586
Se 2.3329 2.5383 5.3978
Se 4.6658 2.6354 2.7604
```

Summary:
For the total DFT energy (no corrections), the calculation gives -0.1949 hartree per atom.

Record 9
Computed, not measured: UNiSe2 after structural relaxation at the PBE level of DFT.

The structure in extended XYZ format:
```
4
Lattice="3.9437 0.0000 -0.0006 1.9720 3.4160 0.0017 1.9715 1.1408 7.7525" Properties=species:S:1:pos:R:3 pbc="T T T"
U 4.6196 1.4061 6.1440
Ni 4.6199 3.6817 7.5712
Se 2.6477 2.5464 4.4936
Se 2.6487 0.2643 1.0071
```

Summary:
For the energy above the most stable polymorph in this dataset, the calculation gives 0.341 eV/atom.

Record 10
Computed, not measured: UNiSe2 after structural relaxation at the PBE level of DFT.

The structure in extended XYZ format:
```
4
Lattice="-1.0070 -3.0426 0.9862 1.7019 -2.7235 -0.9642 5.1991 -1.2967 7.0088" Properties=species:S:1:pos:R:3 pbc="T T T"
Ni 2.9470 -3.5314 3.5154
U 0.0000 0.0000 0.0000
Se 3.5322 -1.5065 4.6594
Se 2.3618 -5.5562 2.3714
```

Summary:
For the energy above the most stable polymorph in this dataset, the calculation gives 0.816 eV/atom.

Record 11
Computed, not measured: UNiSe4 after structural relaxation at the PBE level of DFT.

The structure in extended XYZ format:
```
12
Lattice="6.5895 -0.2060 0.0000 -1.0891 6.1098 0.0000 -2.7502 -2.9519 6.5272" Properties=species:S:1:pos:R:3 pbc="T T T"
U 1.1029 3.0034 1.5328
U 1.6474 -0.0515 4.9943
Ni -2.1919 3.1064 4.3090
Ni 4.9422 -0.1545 2.2182
Se 5.6484 1.3096 0.4441
Se 3.1468 4.4913 0.4441
Se -0.3363 1.5866 3.7049
Se 3.0865 1.3653 2.8223
Se -0.8808 4.6415 2.8223
Se -0.3966 -1.5393 6.0831
Se 3.6310 -1.6896 3.7049
Se -2.8982 1.6423 6.0831
```

Summary:
For the total DFT energy (no corrections), the calculation gives -0.2120 hartree per atom.

Record 12
Computed, not measured: UNiSe2 after structural relaxation at the PBE level of DFT.

The structure in extended XYZ format:
```
4
Lattice="3.9942 0.0000 0.0000 1.9971 3.4591 0.0000 1.9971 1.1530 7.3673" Properties=species:S:1:pos:R:3 pbc="T T T"
U 3.9942 2.3061 4.1226
Ni 5.9913 3.4591 5.6436
Se 1.9971 1.1530 6.1894
Se 1.9971 1.1530 2.4627
```

Summary:
For the energy above the most stable polymorph in this dataset, the calculation gives 0.086 eV/atom.

Calculated magnetic moment in order - 0.00 0.00 0.00 0.00 0.00 0.00 2.30 1.10 0.21 2.97 0.00 2.00 μB/f.u.